Record 1
VASP calculation (GGA-PBE) on a relaxed CeHfPb crystal.

Results
ΔH_f (0 K) = -0.4 eV/f.u.
polymorph energy (0 for the lowest one) = 0.00 eV/f.u.
density = 10.9 g cm⁻³

Cell lengths 5.8756, 3.2850, 8.7427 Å; angles 100.82, 105.11, 90.01 degrees
Site moments in Bohr magnetons follow the coordinates.
Element x y z (fractional)
Hf1 0.7181 0.7485 0.9967  -0.02
Hf2 0.2819 0.2515 0.0033  -0.02
Pb1 0.1673 0.8953 0.2908  -0.01
Pb2 0.8327 0.1047 0.7092  -0.01
Ce1 0.3050 0.5785 0.6572  0.66
Ce2 0.6950 0.4215 0.3428  0.66

=====

Record 2
VASP calculation (GGA-PBE) on a relaxed Dy4HoIn crystal.

Results
ΔH_f (0 K) = -0.7 eV/f.u.
polymorph energy (0 for the lowest one) = 0.16 eV/f.u.
density = 8.7 g cm⁻³

Cell lengths 4.8486, 9.8564, 7.7740 Å; angles 90.00, 108.17, 90.00 degrees
Element x y z (fractional)
Ho1 0.3324 0.2009 0.6648
Ho2 0.6676 0.7009 0.3352
Dy1 0.8274 0.4472 0.6548
Dy2 0.1726 0.9472 0.3452
Dy3 0.4957 0.9473 0.9915
Dy4 0.0002 0.6972 0.0004
Dy5 0.9998 0.1972 0.9996
Dy6 0.3320 0.6933 0.6639
Dy7 0.6680 0.1933 0.3361
Dy8 0.5043 0.4473 0.0085
In1 0.8341 0.9474 0.6683
In2 0.1659 0.4474 0.3317

=====

| no. | Fermi-level density of states (states/eV/atom) |
| --- | --- |
| 1 | 2.115 |
| 2 | 1.327 |